DFT (PBE) results for a geometry-optimized YTiZnAg structure.

Values from the calculation:
SG   F-43m (216)
Energy of formation   -79.6 meV/atom
Calculated density   6.3 Mg/m³

a b c (Å): 4.8605 4.8605 4.8605
angles (deg): 60.00 60.00 60.00
Last column: nearest neighbours and their distance in Å.
Element x y z (fractional)
Y: 0.0000 0.0000 0.0000  4 Zn 2.98, 4 Ag 2.98
Ti: 0.5000 0.5000 0.5000  4 Zn 2.98, 4 Ag 2.98
Zn: 0.7500 0.7500 0.7500  4 Ti 2.98, 4 Y 2.98
Ag: 0.2500 0.2500 0.2500  4 Ti 2.98, 4 Y 2.98

DFT (PBE) results for a geometry-optimized Y2ZrTiAg structure.

Values from the calculation:
SG   P4/mmm (123)
Energy of formation   834.3 meV/atom
Calculated density   4.8 Mg/m³

a b c (Å): 5.5976 5.5976 4.6937
angles (deg): 90.00 90.00 90.00
Last column: nearest neighbours and their distance in Å.
Element x y z (fractional)
Y: 0.0000 0.5000 0.0000  2 Zr 2.80
Y: 0.5000 0.0000 0.0000  2 Zr 2.80
Zr: 0.0000 0.0000 0.0000  2 Ti 2.35
Ti: 0.0000 0.0000 0.5000  2 Zr 2.35
Ag: 0.5000 0.5000 0.5000  8 Y 3.65, 4 Ti 3.96